AgPdO3 | PBE | optimized geometry

Computed properties:
- DOS(E_F): 4.10 states/eV/cell
- Formation energy without anion corrections: 774 meV/atom
- Total DFT energy (no corrections): -3.81 eV per atom

abc: 3.996 3.996 3.996
angles: 90.00 90.00 90.00
Positions (direct):
O1 0.000 0.500 0.000
O2 0.000 0.000 0.500
O3 0.500 0.000 0.000
Pd1 0.500 0.500 0.500
Ag1 0.000 0.000 0.000

AgPd4O8 | PBE | optimized geometry

Computed properties:
- DOS(E_F): 5.19 states/eV/cell
- Distance to the lowest polymorph of the same formula: 0.006 eV per atom
- Formation energy without anion corrections: -285 meV/atom
- Total DFT energy (no corrections): -5.15 eV per atom

abc: 6.261 6.261 6.681
angles: 115.18 92.16 120.38
Positions (direct):
Ag1 0.000 0.500 0.500
Pd1 0.249 0.249 0.000
Pd2 0.751 0.751 0.000
Pd3 0.256 0.760 0.016
Pd4 0.744 0.240 0.984
O1 0.660 0.043 0.184
O2 0.141 0.525 0.184
O3 0.647 0.517 0.164
O4 0.145 0.030 0.175
O5 0.855 0.970 0.825
O6 0.353 0.483 0.836
O7 0.859 0.475 0.816
O8 0.340 0.957 0.816

AgPdO3 | PBE | optimized geometry

Computed properties:
- DOS(E_F): 12.14 states/eV/cell
- Formation energy without anion corrections: 284 meV/atom
- Total DFT energy (no corrections): -4.30 eV per atom

abc: 3.933 3.933 3.933
angles: 90.00 90.00 90.00
Positions (direct):
O1 0.000 0.500 0.000
O2 0.000 0.000 0.500
O3 0.500 0.000 0.000
Pd1 0.000 0.000 0.000
Ag1 0.500 0.500 0.500